The following is a DFT calculation (PBE) of a relaxed structure of Mn2TlAu.

The space group is F-43m (No. 216) and the conventional cell measures 6.648, 6.648 and 6.648 Å, with angles of 90.00, 90.00 and 90.00 degrees. The inequivalent atoms are Mn at (0.000, 0.000, 0.000), Mn at (0.250, 0.250, 0.250), Tl at (0.250, 0.250, 0.750) and Au at (0.000, 0.000, 0.500).

The calculation puts the formation energy from the elements at 0.422 eV per atom. The energy relative to the lowest polymorph listed for this composition is 172 meV per atom.

---

The following is a DFT calculation (PBE) of a relaxed structure of LaPdAu3.

The space group is Pm-3m (No. 221) and the conventional cell measures 5.594, 5.594 and 5.594 Å, with angles of 90.00, 90.00 and 90.00 degrees. The inequivalent atoms are La at (0.000, 0.000, 0.000), Pd at (0.500, 0.500, 0.500) and Au at (0.000, 0.000, 0.500).

The calculation puts the formation energy from the elements at 0.718 eV per atom. The energy relative to the lowest polymorph listed for this composition is 1304 meV per atom.

---

The following is a DFT calculation (PBE) of a relaxed structure of NaTiRu2.

The space group is I-42d (No. 122) and the conventional cell measures 4.130, 4.130 and 17.507 Å, with angles of 90.00, 90.00 and 90.00 degrees. The inequivalent atoms are Na at (0.000, 0.000, 0.000), Ti at (0.000, 0.000, 0.500) and Ru at (0.163, 0.250, 0.625).

The calculation puts the formation energy from the elements at 0.851 eV per atom. The energy relative to the lowest polymorph listed for this composition is 513 meV per atom.

---

The following is a DFT calculation (PBE) of a relaxed structure of BaAs2Ru.

The space group is Imm2 (No. 44) and the conventional cell measures 3.559, 3.686 and 14.320 Å, with angles of 90.00, 90.00 and 90.00 degrees. The inequivalent atoms are Ba at (0.000, 0.000, 0.000), As at (0.000, 0.000, 0.638), As at (0.000, 0.500, 0.308) and Ru at (0.000, 0.500, 0.748).

The calculation puts the formation energy from the elements at -0.235 eV per atom.

---

The following is a DFT calculation (PBE) of a relaxed structure of TbDyNiHg.

The space group is F-43m (No. 216) and the conventional cell measures 7.151, 7.151 and 7.151 Å, with angles of 90.00, 90.00 and 90.00 degrees. The inequivalent atoms are Tb at (0.000, 0.000, 0.000), Dy at (0.000, 0.000, 0.500), Ni at (0.250, 0.250, 0.750) and Hg at (0.250, 0.250, 0.250).

The calculation puts the formation energy from the elements at -0.357 eV per atom.

---

The following is a DFT calculation (PBE) of a relaxed structure of PaBiRh4.

The space group is F-43m (No. 216) and the conventional cell measures 7.556, 7.556 and 7.556 Å, with angles of 90.00, 90.00 and 90.00 degrees. The inequivalent atoms are Pa at (0.000, 0.000, 0.000), Bi at (0.250, 0.250, 0.750) and Rh at (0.124, 0.124, 0.376).

The calculation puts the formation energy from the elements at -0.405 eV per atom.

---

The following is a DFT calculation (PBE) of a relaxed structure of BaHoIn2.

The space group is P4/mmm (No. 123) and the conventional cell measures 3.955, 3.955 and 8.173 Å, with angles of 90.00, 90.00 and 90.00 degrees. The inequivalent atoms are Ba at (0.000, 0.000, 0.000), Ho at (0.000, 0.000, 0.500) and In at (0.500, 0.500, 0.296).

The calculation puts the formation energy from the elements at -0.423 eV per atom.

---

The following is a DFT calculation (PBE) of a relaxed structure of ZrGaOs2O.

The space group is P4/mmm (No. 123) and the conventional cell measures 4.874, 4.874 and 5.463 Å, with angles of 90.00, 90.00 and 90.00 degrees. The inequivalent atoms are Zr at (0.000, 0.000, 0.000), Ga at (0.000, 0.000, 0.500), Os at (0.000, 0.500, 0.000) and O at (0.500, 0.500, 0.500).

The value obtained for the uncorrected formation energy is 2296.2 meV per atom.

---

Number 1: E_tot -5.5737 eV/atom. Number 2: E_tot -3.2728 eV/atom. Number 3: E_tot -6.0900 eV/atom. Number 4: E_tot -5.3589 eV/atom. Number 5: E_tot -4.1857 eV/atom. Number 6: E_tot -7.5352 eV/atom. Number 7: E_tot -3.4177 eV/atom. Number 8: E_tot -5.5023 eV/atom.